Entry 1:
The following is a DFT calculation (PBE) of crystalline Rb3HgMo at its relaxed geometry.

a = 6.8142 Å, b = 6.8142 Å, c = 6.8142 Å
α = 90.00°, β = 90.00°, γ = 90.00°
Site moments in Bohr magnetons follow the coordinates.
Positions (direct):
Rb1 0.5000 0.0000 0.0000  0.00
Rb2 0.0000 0.0000 0.5000  0.01
Rb3 0.0000 0.5000 0.0000  0.00
Hg1 0.0000 0.0000 0.0000  0.00
Mo1 0.5000 0.5000 0.5000  4.00

Properties
symmetry	Pm-3m
ΔE_f	1016	meV per atom

***

Entry 2:
The following is a DFT calculation (PBE) of crystalline RbHgMo3 at its relaxed geometry.

a = 5.4765 Å, b = 5.4765 Å, c = 5.4765 Å
α = 90.00°, β = 90.00°, γ = 90.00°
Site moments in Bohr magnetons follow the coordinates.
Positions (direct):
Mo1 0.5000 0.0000 0.0000  3.03
Mo2 0.0000 0.5000 0.0000  3.39
Mo3 0.0000 0.0000 0.5000  3.59
Rb1 0.5000 0.5000 0.5000  0.06
Hg1 0.0000 0.0000 0.0000  0.09

Properties
symmetry	Pm-3m
ΔE_f	2438	meV per atom

***

Entry 3:
The following is a DFT calculation (PBE) of crystalline RbHg3Mo at its relaxed geometry.

a = 5.5253 Å, b = 5.5253 Å, c = 5.5253 Å
α = 90.00°, β = 90.00°, γ = 90.00°
Site moments in Bohr magnetons follow the coordinates.
Positions (direct):
Rb1 0.5000 0.5000 0.5000  0.00
Hg1 0.5000 0.0000 0.0000  0.03
Hg2 0.0000 0.0000 0.5000  0.07
Hg3 0.0000 0.5000 0.0000  0.06
Mo1 0.0000 0.0000 0.0000  2.06

Properties
symmetry	Pm-3m
ΔE_f	394	meV per atom

***

Entry 4:
The following is a DFT calculation (PBE) of crystalline RbHg3Mo at its relaxed geometry.

a = 6.5266 Å, b = 6.5266 Å, c = 6.5266 Å
α = 90.00°, β = 90.00°, γ = 90.00°
Site moments in Bohr magnetons follow the coordinates.
Positions (direct):
Hg1 0.0000 0.0000 0.5000  0.01
Hg2 0.0000 0.5000 0.0000  -0.01
Hg3 0.5000 0.0000 0.0000  0.00
Mo1 0.5000 0.5000 0.5000  4.08
Rb1 0.0000 0.0000 0.0000  -0.01

Properties
symmetry	Pm-3m
ΔE_f	1243	meV per atom

***

Entry 5:
The following is a DFT calculation (PBE) of crystalline RbHgMo3 at its relaxed geometry.

a = 4.7092 Å, b = 4.7092 Å, c = 4.7092 Å
α = 90.00°, β = 90.00°, γ = 90.00°
Positions (direct):
Mo1 0.0000 0.5000 0.0000
Mo2 0.0000 0.0000 0.5000
Mo3 0.5000 0.0000 0.0000
Hg1 0.5000 0.5000 0.5000
Rb1 0.0000 0.0000 0.0000

Properties
symmetry	Pm-3m
ΔE_f	3145	meV per atom

***

Entry 6:
The following is a DFT calculation (PBE) of crystalline RbRe2HgMo at its relaxed geometry.

a = 4.6635 Å, b = 5.2460 Å, c = 4.6635 Å
α = 90.00°, β = 90.00°, γ = 90.00°
Positions (direct):
Mo1 0.5000 0.5000 0.5000
Hg1 0.0000 0.5000 0.0000
Re1 0.0000 0.0000 0.5000
Re2 0.5000 0.0000 0.0000
Rb1 0.0000 0.0000 0.0000

Properties
symmetry	P4/mmm
ΔE_f	3912	meV per atom

***

Entry 7:
The following is a DFT calculation (PBE) of crystalline Rb2HgMoS4 at its relaxed geometry.

a = 7.2851 Å, b = 7.2851 Å, c = 7.2851 Å
α = 111.92°, β = 108.26°, γ = 108.26°
Positions (direct):
Hg1 0.5000 0.2500 0.7500
S1 0.6996 0.5048 0.5039
S2 0.0009 0.4961 0.1957
S3 0.9991 0.1948 0.4952
S4 0.3004 0.8043 0.8052
Rb1 0.0000 0.0000 0.0000
Rb2 0.5000 0.7500 0.2500
Mo1 0.0000 0.5000 0.5000

Properties
symmetry	I-4
raw formation energy	-0.763	eV per atom

***

Entry 8:
The following is a DFT calculation (PBE) of crystalline Rb2VHgMo at its relaxed geometry.

a = 6.9229 Å, b = 4.3455 Å, c = 6.9229 Å
α = 90.00°, β = 90.00°, γ = 90.00°
Site moments in Bohr magnetons follow the coordinates.
Positions (direct):
Mo1 0.0000 0.5000 0.0000  -0.04
Rb1 0.0000 0.0000 0.5000  0.00
Rb2 0.5000 0.0000 0.0000  0.00
V1 0.0000 0.0000 0.0000  0.11
Hg1 0.5000 0.5000 0.5000  0.00

Properties
symmetry	P4/mmm
ΔE_f	1203	meV per atom